(1)
DFT (PBE-GGA) results for a relaxed structure of Pr6Ag5Rh.

The structure in POSCAR format:
```
Pr6Ag5Rh
1.0
5.0107 -0.0299 1.6698
0.0406 7.5324 0.0135
0.0044 -0.0149 8.3395
Rh Pr Ag
1 6 5
Direct
0.0000 0.0000 0.0000
0.1577 0.7570 0.6846
0.5000 0.2357 0.0000
0.8423 0.7570 0.3154
0.1577 0.2430 0.6846
0.5000 0.7643 0.0000
0.8423 0.2430 0.3154
0.3216 0.0000 0.3567
0.6784 0.0000 0.6433
0.3316 0.5000 0.3368
0.6684 0.5000 0.6632
0.0000 0.5000 0.0000
```

=====

(2)
DFT (PBE-GGA) results for a relaxed structure of Pr12AgRh6.

The structure in POSCAR format:
```
Pr12AgRh6
1.0
8.5716 -0.2177 -0.2608
-1.5147 8.4395 -0.2608
-1.5147 -1.7647 8.2571
Pr Rh Ag
12 6 1
Direct
0.9201 0.0668 0.6680
0.6680 0.9201 0.0668
0.4162 0.5695 0.1756
0.9332 0.3320 0.0799
0.0799 0.9332 0.3320
0.8244 0.5838 0.4305
0.3320 0.0799 0.9332
0.0668 0.6680 0.9201
0.5695 0.1756 0.4162
0.1756 0.4162 0.5695
0.4305 0.8244 0.5838
0.5838 0.4305 0.8244
0.3090 0.1377 0.6143
0.3857 0.6910 0.8623
0.1377 0.6143 0.3090
0.6910 0.8623 0.3857
0.6143 0.3090 0.1377
0.8623 0.3857 0.6910
0.0000 0.0000 0.0000
```

=====

(3)
DFT (PBE-GGA) results for a relaxed structure of Pr7Ag2Rh2.

The structure in POSCAR format:
```
Pr7Ag2Rh2
1.0
6.9349 -0.0032 -0.9749
0.0035 7.3065 0.0030
-1.4051 -0.0019 6.8607
Rh Pr Ag
2 7 2
Direct
0.7063 0.0000 0.2937
0.2937 0.0000 0.7063
0.5000 0.2497 0.5000
0.5000 0.2591 0.0000
0.0000 0.2591 0.5000
0.5000 0.7409 0.0000
0.0000 0.0000 0.0000
0.5000 0.7503 0.5000
0.0000 0.7409 0.5000
0.1731 0.5000 0.1731
0.8269 0.5000 0.8269
```

=====

(4)
DFT (PBE-GGA) results for a relaxed structure of Pr4AgRh3.

The structure in POSCAR format:
```
Pr4AgRh3
1.0
3.9474 0.0000 0.0000
0.0000 4.5619 0.0000
0.0000 0.0000 10.9046
Pr Ag Rh
4 1 3
Direct
0.0000 0.5000 0.8509
0.5000 0.5000 0.3750
0.5000 0.0000 0.6389
0.0000 0.0000 0.1427
0.5000 0.5000 0.0778
0.0000 0.5000 0.5884
0.0000 0.0000 0.4085
0.5000 0.0000 0.9178
```

=====

(5)
DFT (PBE-GGA) results for a relaxed structure of Pr4Ag2Rh.

The structure in POSCAR format:
```
Pr4Ag2Rh
1.0
4.9952 0.0000 1.5606
2.2538 4.4579 1.5606
-0.0699 -0.0430 8.9983
Pr Rh Ag
4 1 2
Direct
0.3712 0.3712 0.8866
0.6288 0.6288 0.1134
0.8805 0.8805 0.3584
0.1195 0.1195 0.6416
0.0000 0.0000 0.0000
0.2445 0.2445 0.2666
0.7555 0.7555 0.7334
```

=====

(6)
DFT (PBE-GGA) results for a relaxed structure of Pr5AgRh2.

The structure in POSCAR format:
```
Pr5AgRh2
1.0
-1.8996 -1.5783 -5.3433
-3.3027 -2.9371 5.2840
-9.4626 10.9003 0.1444
Pr Rh Ag
10 4 2
Direct
0.9425 0.8850 0.6168
0.7547 0.5094 0.2500
0.9425 0.8850 0.8832
0.6488 0.2975 0.5491
0.0575 0.1150 0.1168
0.0575 0.1150 0.3832
0.3512 0.7025 0.0491
0.3512 0.7025 0.4509
0.6488 0.2975 0.9509
0.2453 0.4906 0.7500
0.1569 0.3139 0.9403
0.1569 0.3139 0.5597
0.8431 0.6861 0.4403
0.8431 0.6861 0.0597
0.2628 0.5257 0.2500
0.7372 0.4743 0.7500
```

=====

Calculated formation energy list, top to bottom, in kJ per mole of atoms: -30, -37, -24, -53, -22, -24
Volume list, top to bottom, in Å³/cell: 315, 587, 338, 196, 201, 529
E_tot list, top to bottom, in eV per atom: -4.50, -5.88, -5.14, -6.06, -4.82, -5.43